(1)
This record from Alexandria via LeMat-Bulk describes a relaxed Tm2UAs3 crystal. The functional is GGA-PBE.

Calculated values
magnetic moment: 4.67 μB/cell
total DFT energy (no corrections): -83.213 eV per cell
formation energy: -1.238 eV/atom
calculated volume: 285.2 Å³ per cell

```
Tm2UAs3
1.0
3.5092 -6.0783 0.0000
3.5092 6.0783 0.0000
-2.3407 0.0000 6.6851
Tm U As
4 2 6
Direct
0.0000 0.0000 0.0000
0.1659 0.8341 0.5000
0.5000 0.5000 0.5000
0.8341 0.1659 0.5000
0.3333 0.6667 0.0000
0.6667 0.3333 0.0000
0.0834 0.4175 0.2502
0.2504 0.2504 0.7487
0.4175 0.0834 0.2502
0.5825 0.9166 0.7498
0.7496 0.7496 0.2513
0.9166 0.5825 0.7498
```



(2)
This record from Alexandria via LeMat-Bulk describes a relaxed TaTeRh crystal. The functional is GGA-PBE.

Calculated values
magnetic moment: 0.00 μB/cell
total DFT energy (no corrections): -22.057 eV per cell
energy relative to the elements, uncorrected: 0.288 eV per formula unit
calculated volume: 55.4 Å³ per cell

```
TaTeRh
1.0
4.3929 0.0000 0.0000
-2.1964 3.8043 0.0000
0.0000 0.0000 3.3169
Ta Te Rh
1 1 1
Direct
0.0000 0.0000 0.0000
0.6667 0.3333 0.4484
0.3333 0.6667 0.6050
```



(3)
This record from Alexandria via LeMat-Bulk describes a relaxed Ca2PtPb crystal. The functional is GGA-PBE.

Calculated values
magnetic moment: 0.00 μB/cell
total DFT energy (no corrections): -16.635 eV per cell
formation energy: -0.721 eV/atom
offset from the most stable computed form: 0.000 eV/atom
calculated volume: 103.1 Å³ per cell

```
Ca2PtPb
1.0
3.5134 0.0000 0.0000
0.0000 3.5134 0.0000
0.0000 0.0000 8.3507
Ca Pt Pb
2 1 1
Direct
0.0000 0.0000 0.2055
0.0000 0.0000 0.7945
0.5000 0.5000 0.0000
0.5000 0.5000 0.5000
```



(4)
This record from Alexandria via LeMat-Bulk describes a relaxed ZnNi4Sn crystal. The functional is GGA-PBE.

Calculated values
magnetic moment: 0.00 μB/cell
total DFT energy (no corrections): -29.095 eV per cell
formation energy: -0.115 eV/atom
calculated volume: 76.9 Å³ per cell

```
ZnNi4Sn
1.0
4.1770 -1.7717 0.0000
4.1770 1.7717 0.0000
-1.8055 0.0000 5.1984
Zn Ni Sn
1 4 1
Direct
0.0000 0.0000 0.0000
0.3295 0.3295 0.1539
0.3335 0.3335 0.6799
0.6665 0.6665 0.3201
0.6705 0.6705 0.8461
0.0000 0.0000 0.5000
```



(5)
This record from Alexandria via LeMat-Bulk describes a relaxed Hf8MnRe2 crystal. The functional is GGA-PBE.

Calculated values
magnetic moment: 0.00 μB/cell
total DFT energy (no corrections): -114.552 eV per cell
formation energy: -0.078 eV/atom
calculated volume: 219.8 Å³ per cell

```
Hf8MnRe2
1.0
7.8423 -2.2894 0.0000
7.8423 2.2894 0.0000
-2.0268 0.0000 6.1209
Hf Mn Re
8 1 2
Direct
0.0197 0.0197 0.2749
0.1976 0.1976 0.7832
0.3400 0.3400 0.5559
0.4026 0.4026 0.0507
0.5974 0.5974 0.9493
0.6600 0.6600 0.4441
0.8024 0.8024 0.2168
0.9803 0.9803 0.7251
0.5000 0.5000 0.5000
0.1816 0.1816 0.1875
0.8184 0.8184 0.8125
```



(6)
This record from Alexandria via LeMat-Bulk describes a relaxed SmHoMgPt crystal. The functional is GGA-PBE.

Calculated values
magnetic moment: 0.00 μB/cell
total DFT energy (no corrections): -19.198 eV per cell
formation energy: -0.566 eV/atom
calculated volume: 95.3 Å³ per cell

```
SmHoMgPt
1.0
0.0000 3.6260 3.6260
3.6260 0.0000 3.6260
3.6260 3.6260 0.0000
Sm Ho Mg Pt
1 1 1 1
Direct
0.0000 0.0000 0.0000
0.5000 0.5000 0.5000
0.7500 0.7500 0.7500
0.2500 0.2500 0.2500
```